An optimized crystal structure of Sr2YBiO5. Source: Alexandria, functional GGA-PBE.

Cell lengths 7.2169, 7.2169, 12.8503 Å; angles 90.00, 90.00, 151.36 degrees
With the nearest neighbours (Å) after each atom.
Positions (direct):
1 Sr 0.0641 0.9359 0.5000  6 O 2.49-2.65
2 Sr 0.1658 0.8342 0.0895  5 O 2.43-2.62
3 Sr 0.8342 0.1658 0.5895  5 O 2.43-2.62
4 Sr 0.9359 0.0641 0.0000  6 O 2.49-2.65
5 Y 0.2552 0.7448 0.8507  6 O 2.22-2.43
6 Y 0.7448 0.2552 0.3507  6 O 2.22-2.43
7 Bi 0.4560 0.5440 0.2758  4 O 2.17-2.37
8 Bi 0.5440 0.4560 0.7758  4 O 2.17-2.37
9 O 0.0884 0.9116 0.8774  2 Bi 2.30, 1 Y 2.36
10 O 0.2425 0.7575 0.4795  2 Y 2.43, 3 Sr 2.51-2.61
11 O 0.2649 0.7351 0.2444  2 Y 2.26, 1 Sr 2.43
12 O 0.4135 0.5865 0.8673  1 Bi 2.17, 1 Y 2.22
13 O 0.4697 0.5303 0.6099  1 Bi 2.37, 4 Sr 2.62-2.63
14 O 0.5303 0.4697 0.1099  1 Bi 2.37, 4 Sr 2.62-2.63
15 O 0.5865 0.4135 0.3673  1 Bi 2.17, 1 Y 2.22
16 O 0.7351 0.2649 0.7444  2 Y 2.26, 1 Sr 2.43
17 O 0.7575 0.2425 0.9795  2 Y 2.43, 3 Sr 2.51-2.61
18 O 0.9116 0.0884 0.3774  2 Bi 2.30, 1 Y 2.36

## Properties
The calculated volume is 17.821 A^3/atom. As for the space-group type: Cmc2_1 (36). Its total moment is 0.0 μB per formula unit.

An optimized crystal structure of SrYBi2O. Source: Alexandria, functional GGA-PBE.

Cell lengths 5.9037, 5.9037, 6.1487 Å; angles 90.00, 90.00, 90.00 degrees
With the nearest neighbours (Å) after each atom.
Positions (direct):
1 Sr 0.0000 0.0000 0.0000  4 Bi 2.95, 2 Y 3.07
2 Y 0.0000 0.0000 0.5000  2 Sr 3.07
3 Bi 0.0000 0.5000 0.0000  2 Sr 2.95
4 Bi 0.5000 0.0000 0.0000  2 Sr 2.95
5 O 0.5000 0.5000 0.5000  4 Y 4.17, 8 Bi 4.26

## Properties
The calculated volume is 42.860 A^3/atom. As for the space-group type: P4/mmm (123). Its total moment is 0.2 μB per formula unit.

An optimized crystal structure of SrY2BiO. Source: Alexandria, functional GGA-PBE.

Cell lengths 4.7912, 4.7912, 5.4128 Å; angles 90.00, 90.00, 90.00 degrees
With the nearest neighbours (Å) after each atom.
Positions (direct):
1 Sr 0.0000 0.0000 0.0000  2 O 2.71
2 Y 0.0000 0.5000 0.5000  2 O 2.40
3 Y 0.5000 0.0000 0.5000  2 O 2.40
4 Bi 0.5000 0.5000 0.0000  4 Sr 3.39, 8 Y 3.61
5 O 0.0000 0.0000 0.5000  4 Y 2.40

## Properties
The calculated volume is 24.851 A^3/atom. As for the space-group type: P4/mmm (123). Its total moment is 0.0 μB per formula unit.

An optimized crystal structure of Sr2ZnBiO5. Source: Alexandria, functional GGA-PBE.

Cell lengths 7.4753, 7.4753, 10.6349 Å; angles 90.00, 90.00, 152.97 degrees
With the nearest neighbours (Å) after each atom.
Positions (direct):
1 Sr 0.1066 0.8934 0.5000  5 O 2.52-2.68
2 Sr 0.1224 0.8776 0.1006  5 O 2.50-2.72
3 Sr 0.8776 0.1224 0.6006  5 O 2.50-2.72
4 Sr 0.8934 0.1066 0.0000  5 O 2.52-2.68
5 Zn 0.4838 0.5162 0.2736  4 O 1.95-2.15
6 Zn 0.5162 0.4838 0.7736  4 O 1.95-2.15
7 Bi 0.2155 0.7845 0.8126  6 O 2.26-2.31
8 Bi 0.7845 0.2155 0.3126  6 O 2.26-2.31
9 O 0.0585 0.9415 0.8461  2 Zn 2.01
10 O 0.2825 0.7175 0.4544  2 Bi 2.31
11 O 0.2939 0.7061 0.1749  2 Bi 2.28
12 O 0.3707 0.6293 0.8114  1 Zn 2.15, 1 Bi 2.26
13 O 0.4994 0.5006 0.0911  1 Zn 1.95
14 O 0.5006 0.4994 0.5911  1 Zn 1.95
15 O 0.6293 0.3707 0.3114  1 Zn 2.15, 1 Bi 2.26
16 O 0.7061 0.2939 0.6749  2 Bi 2.28
17 O 0.7175 0.2825 0.9544  2 Bi 2.31
18 O 0.9415 0.0585 0.3461  2 Zn 2.01

## Properties
The calculated volume is 15.004 A^3/atom. As for the space-group type: Cmc2_1 (36). Its total moment is 0.0 μB per formula unit.

An optimized crystal structure of Sr2Zn2BiO6. Source: Alexandria, functional GGA-PBE.

Cell lengths 5.6565, 5.6565, 5.8950 Å; angles 90.00, 90.00, 120.00 degrees
With the nearest neighbours (Å) after each atom.
Positions (direct):
1 Sr 0.3333 0.6667 0.0000  6 O 2.53
2 Sr 0.6667 0.3333 0.0000  6 O 2.53
3 Zn 0.3333 0.6667 0.5000  6 O 2.20
4 Zn 0.6667 0.3333 0.5000  6 O 2.20
5 Bi 0.0000 0.0000 0.5000  6 O 2.32
6 O 0.0000 0.3497 0.2948  2 Zn 2.20, 1 Bi 2.32
7 O 0.0000 0.6503 0.7052  2 Zn 2.20, 1 Bi 2.32
8 O 0.3497 0.0000 0.2948  2 Zn 2.20, 1 Bi 2.32
9 O 0.3497 0.3497 0.7052  2 Zn 2.20, 1 Bi 2.32
10 O 0.6503 0.0000 0.7052  2 Zn 2.20, 1 Bi 2.32
11 O 0.6503 0.6503 0.2948  2 Zn 2.20, 1 Bi 2.32

## Properties
The calculated volume is 14.850 A^3/atom. As for the space-group type: P-31m (162). Its total moment is 0.8 μB per formula unit.

An optimized crystal structure of Sr2ZrBiO6. Source: Alexandria, functional GGA-PBE.

Cell lengths 5.9286, 6.0680, 10.3215 Å; angles 90.00, 125.01, 90.00 degrees
With the nearest neighbours (Å) after each atom.
Positions (direct):
1 Sr 0.2394 0.0453 0.2507  5 O 2.52-2.82
2 Sr 0.2394 0.4547 0.7507  5 O 2.52-2.82
3 Sr 0.7606 0.5453 0.2493  5 O 2.52-2.82
4 Sr 0.7606 0.9547 0.7493  5 O 2.52-2.82
5 Zr 0.0000 0.0000 0.5000  6 O 2.12-2.13
6 Zr 0.0000 0.5000 0.0000  6 O 2.12-2.13
7 Bi 0.5000 0.0000 0.0000  6 O 2.26-2.27
8 Bi 0.5000 0.5000 0.5000  6 O 2.26-2.27
9 O 0.1425 0.2140 0.9477  1 Zr 2.13, 1 Bi 2.27
10 O 0.1425 0.2860 0.4477  1 Zr 2.13, 1 Bi 2.27
11 O 0.2394 0.6972 0.9518  1 Zr 2.12, 1 Bi 2.26
12 O 0.2394 0.8028 0.4518  1 Zr 2.12, 1 Bi 2.26
13 O 0.3361 0.0345 0.7412  1 Zr 2.13, 1 Bi 2.27
14 O 0.3361 0.4655 0.2412  1 Zr 2.13, 1 Bi 2.27
15 O 0.6639 0.5345 0.7588  1 Zr 2.13, 1 Bi 2.27
16 O 0.6639 0.9655 0.2588  1 Zr 2.13, 1 Bi 2.27
17 O 0.7606 0.1972 0.5482  1 Zr 2.12, 1 Bi 2.26
18 O 0.7606 0.3028 0.0482  1 Zr 2.12, 1 Bi 2.26
19 O 0.8575 0.7140 0.5523  1 Zr 2.13, 1 Bi 2.27
20 O 0.8575 0.7860 0.0523  1 Zr 2.13, 1 Bi 2.27

## Properties
The calculated volume is 15.207 A^3/atom. As for the space-group type: P2_1/c (14). Its total moment is 0.0 μB per formula unit.

The records above yield energy relative to the elements, uncorrected values of -2482; 1242; -1306; -1896; -1677; -2503 meV per atom, respectively.